The following is a DFT calculation (PBE) of crystalline Rb3Dy2ThS6 at its relaxed geometry.

Geometry as extended XYZ:
```
12
Lattice="3.5492 -6.1481 0.0000 3.5492 6.1481 0.0000 -2.3668 0.0000 7.7214" Properties=species:S:1:pos:R:3 pbc="T T T"
Rb 0.0000 0.0000 0.0000
Rb 3.5492 2.0533 0.0000
Rb 3.5492 -2.0533 0.0000
Dy 2.3658 4.0993 3.8607
Dy 2.3658 -4.0993 3.8607
Th 2.3658 0.0000 3.8607
S 1.1726 2.0675 2.3529
S -0.0208 0.0000 5.3695
S 1.1726 -2.0675 2.3529
S 3.5591 2.0675 5.3685
S 4.7525 0.0000 2.3519
S 3.5591 -2.0675 5.3685
```

## Properties
VASP energy = -5.4741 eV per atom
Symmetry = C2/m, No. 12
Theoretical density = 5.0 g cm⁻³



The following is a DFT calculation (PBE) of crystalline Rb3DyTh2S6 at its relaxed geometry.

Geometry as extended XYZ:
```
12
Lattice="3.5647 -6.1743 0.0000 3.5647 6.1743 0.0000 -2.3763 0.0000 7.7715" Properties=species:S:1:pos:R:3 pbc="T T T"
Rb 0.0000 0.0000 0.0000
Rb 3.5647 2.0618 0.0000
Rb 3.5647 -2.0618 0.0000
Dy 2.3765 0.0000 3.8858
Th 2.3765 4.1175 3.8858
Th 2.3765 -4.1175 3.8858
S 1.2022 2.0341 2.3387
S 0.0286 0.0000 5.4348
S 1.2022 -2.0341 2.3387
S 3.5509 2.0341 5.4328
S 4.7244 0.0000 2.3367
S 3.5509 -2.0341 5.4328
```

## Properties
VASP energy = -5.6357 eV per atom
Symmetry = C2/m, No. 12
Theoretical density = 5.2 g cm⁻³



The following is a DFT calculation (PBE) of crystalline Rb4DyTh3S8 at its relaxed geometry.

Geometry as extended XYZ:
```
16
Lattice="4.1168 2.3768 7.7948 -4.1168 2.3768 7.7948 0.0000 -4.7536 7.7948" Properties=species:S:1:pos:R:3 pbc="T T T"
Rb 0.0000 0.0000 0.0000
Rb -2.0584 -1.1884 7.7948
Rb -2.0584 1.1884 15.5896
Rb 0.0000 2.3768 7.7948
Dy 0.0000 0.0000 11.6922
Th -4.1168 0.0000 11.6922
Th -2.0584 1.1884 3.8974
Th 2.0584 1.1884 3.8974
S 0.0000 0.0000 5.4947
S -2.0282 -1.1710 13.2422
S 0.0000 -2.3420 10.1422
S -2.0282 1.1710 10.1422
S 2.0282 -1.1710 13.2422
S 0.0000 2.3420 13.2422
S 2.0282 1.1710 10.1422
S 0.0000 0.0000 17.8897
```

## Properties
VASP energy = -5.6780 eV per atom
Symmetry = R-3m, No. 166
Theoretical density = 5.3 g cm⁻³



The following is a DFT calculation (PBE) of crystalline Rb3Dy2TiS6 at its relaxed geometry.

Geometry as extended XYZ:
```
12
Lattice="3.4345 -5.9471 0.0000 3.4345 5.9471 0.0000 -2.2985 0.0000 7.6523" Properties=species:S:1:pos:R:3 pbc="T T T"
Rb 0.0000 0.0000 0.0000
Rb 3.4345 2.0223 0.0000
Rb 3.4345 -2.0223 0.0000
Dy 2.2853 3.9694 3.8261
Dy 2.2853 -3.9694 3.8261
Ti 2.2853 0.0000 3.8261
S 1.2107 1.8637 2.3990
S 0.1304 0.0000 5.2652
S 1.2107 -1.8637 2.3990
S 3.3599 1.8637 5.2533
S 4.4401 0.0000 2.3871
S 3.3599 -1.8637 5.2533
```

## Properties
VASP energy = -5.3566 eV per atom
Symmetry = C2/m, No. 12
Theoretical density = 4.4 g cm⁻³



The following is a DFT calculation (PBE) of crystalline RbDyTiS4 at its relaxed geometry.

Geometry as extended XYZ:
```
14
Lattice="6.6331 0.0000 0.0000 0.0000 6.8089 0.0000 -2.8807 0.0000 8.6986" Properties=species:S:1:pos:R:3 pbc="T T T"
Rb 0.2719 1.7022 3.8298
Rb 3.4805 5.1067 4.8688
Dy -0.8251 1.7022 8.3040
Dy 4.5774 5.1067 0.3946
Ti 1.2610 5.1067 1.4194
Ti 2.4914 1.7022 7.2792
S -2.3545 5.1067 8.0319
S -0.5482 5.1067 2.7477
S 2.7541 0.0133 1.7074
S 2.7541 3.3912 1.7074
S 0.9983 3.4178 6.9912
S 0.9983 6.7956 6.9912
S 4.3006 1.7022 5.9509
S 6.1068 1.7022 0.6667
```

## Properties
VASP energy = -5.8814 eV per atom
Symmetry = P2_1/m, No. 11
Theoretical density = 3.6 g cm⁻³



The following is a DFT calculation (PBE) of crystalline Rb4Dy3TiS8 at its relaxed geometry.

Geometry as extended XYZ:
```
16
Lattice="3.9941 2.3060 7.6621 -3.9941 2.3060 7.6621 0.0000 -4.6120 7.6621" Properties=species:S:1:pos:R:3 pbc="T T T"
Rb 0.0000 0.0000 0.0000
Rb -1.9970 -1.1530 7.6621
Rb -1.9970 1.1530 15.3243
Rb 0.0000 2.3060 7.6621
Dy -3.9941 0.0000 11.4932
Dy -1.9970 1.1530 3.8311
Dy 1.9970 1.1530 3.8311
Ti 0.0000 0.0000 11.4932
S 0.0000 0.0000 5.3218
S -1.8881 -1.0901 12.9200
S 0.0000 -2.1802 10.0664
S -1.8881 1.0901 10.0664
S 1.8881 -1.0901 12.9200
S 0.0000 2.1802 12.9200
S 1.8881 1.0901 10.0665
S 0.0000 0.0000 17.6647
```

## Properties
VASP energy = -5.3401 eV per atom
Symmetry = R-3m, No. 166
Theoretical density = 4.4 g cm⁻³